(1)
{
  "formula": "TaHgSb3",
  "functional": "PBE",
  "state": "relaxed",
  "cell": [[5.381, 0.000, 0.000], [0.000, 5.381, 0.000], [0.000, 0.000, 5.381]],
  "species": ["Ta", "Hg", "Sb", "Sb", "Sb"],
  "frac_coords": [[0.000, 0.000, 0.000], [0.500, 0.500, 0.500], [0.000, 0.000, 0.500], [0.000, 0.500, 0.000], [0.500, 0.000, 0.000]],
  "de_polymorph_ev_per_atom": 0.000,
  "formation_energy_uncorrected_ev_per_atom": 0.335,
  "density_g_cm3": 8.0
}

***

(2)
{
  "formula": "TaHgSb2",
  "functional": "PBE",
  "state": "relaxed",
  "cell": [[1.653, 0.955, 11.232], [-1.653, 0.955, 11.232], [0.000, -1.909, 11.232]],
  "species": ["Ta", "Hg", "Sb", "Sb"],
  "frac_coords": [[0.000, 0.000, 0.000], [0.500, 0.500, 0.500], [0.268, 0.268, 0.268], [0.732, 0.732, 0.732]],
  "formation_energy_uncorrected_ev_per_atom": 0.082,
  "density_g_cm3": 9.8
}

***

(3)
{
  "formula": "Ta2HgSb",
  "functional": "PBE",
  "state": "relaxed",
  "cell": [[3.043, 0.000, 0.000], [0.000, 4.519, 0.000], [-1.339, 0.000, 5.779]],
  "species": ["Ta", "Ta", "Hg", "Sb"],
  "frac_coords": [[0.220, 0.000, 0.256], [0.780, 0.000, 0.744], [0.500, 0.500, 0.000], [0.000, 0.500, 0.500]],
  "de_polymorph_ev_per_atom": 0.164,
  "formation_energy_uncorrected_ev_per_atom": 0.362,
  "density_g_cm3": 14.3
}

***

(4)
{
  "formula": "TaHgSb2",
  "functional": "PBE",
  "state": "relaxed",
  "cell": [[7.364, -1.524, 0.000], [7.364, 1.524, 0.000], [-1.582, 0.000, 4.567]],
  "species": ["Ta", "Hg", "Sb", "Sb"],
  "frac_coords": [[0.000, 0.000, 0.000], [0.308, 0.308, 0.809], [0.489, 0.489, 0.489], [0.683, 0.683, 0.183]],
  "formation_energy_uncorrected_ev_per_atom": 0.258,
  "density_g_cm3": 10.1
}

***

(5)
{
  "formula": "Ta2HgSb",
  "functional": "PBE",
  "state": "relaxed",
  "cell": [[-1.753, 2.387, 4.806], [1.753, -2.387, 4.806], [1.753, 2.387, -4.806]],
  "species": ["Ta", "Ta", "Hg", "Sb"],
  "frac_coords": [[0.000, 0.000, 0.000], [0.775, 0.275, 0.500], [0.266, 0.766, 0.500], [0.530, 0.530, 0.000]],
  "de_polymorph_ev_per_atom": 0.154,
  "formation_energy_uncorrected_ev_per_atom": 0.352,
  "density_g_cm3": 14.1
}

***

(6)
{
  "formula": "TaHgSb2",
  "functional": "PBE",
  "state": "relaxed",
  "cell": [[-1.913, 2.571, 4.577], [1.913, -2.571, 4.577], [1.913, 2.571, -4.577]],
  "species": ["Ta", "Hg", "Sb", "Sb"],
  "frac_coords": [[0.000, 0.000, 0.000], [0.500, 0.500, 0.000], [0.247, 0.747, 0.500], [0.753, 0.253, 0.500]],
  "formation_energy_uncorrected_ev_per_atom": 0.436,
  "density_g_cm3": 11.5
}

***

(7)
{
  "formula": "TaHgSb2",
  "functional": "PBE",
  "state": "relaxed",
  "cell": [[4.923, 0.000, 0.000], [0.000, 4.923, 0.000], [0.000, 0.000, 3.686]],
  "species": ["Ta", "Hg", "Sb", "Sb"],
  "frac_coords": [[0.000, 0.000, 0.000], [0.500, 0.500, 0.000], [0.000, 0.500, 0.500], [0.500, 0.000, 0.500]],
  "formation_energy_uncorrected_ev_per_atom": 0.475,
  "density_g_cm3": 11.6
}

***

(8)
{
  "formula": "Ta2HgSb",
  "functional": "PBE",
  "state": "relaxed",
  "cell": [[1.855, -2.421, 0.000], [1.855, 2.421, 0.000], [0.000, 0.000, 8.902]],
  "species": ["Ta", "Ta", "Hg", "Sb"],
  "frac_coords": [[0.000, 0.000, 0.244], [0.000, 0.000, 0.756], [0.500, 0.500, 0.500], [0.500, 0.500, 0.000]],
  "de_polymorph_ev_per_atom": 0.247,
  "formation_energy_uncorrected_ev_per_atom": 0.444,
  "density_g_cm3": 14.2
}

***

(9)
{
  "formula": "Ta2HgSb",
  "functional": "PBE",
  "state": "relaxed",
  "cell": [[2.955, 0.000, 0.000], [0.000, 2.955, 0.000], [0.000, 0.000, 10.487]],
  "species": ["Ta", "Ta", "Hg", "Sb"],
  "frac_coords": [[0.000, 0.000, 0.000], [0.500, 0.500, 0.213], [0.000, 0.000, 0.426], [0.500, 0.500, 0.786]],
  "de_polymorph_ev_per_atom": 0.096,
  "formation_energy_uncorrected_ev_per_atom": 0.293,
  "density_g_cm3": 12.4
}

***

(10)
{
  "formula": "TaHgSb3",
  "functional": "PBE",
  "state": "relaxed",
  "cell": [[5.404, 0.000, 0.000], [0.000, 5.404, 0.000], [0.000, 0.000, 5.404]],
  "species": ["Ta", "Hg", "Sb", "Sb", "Sb"],
  "frac_coords": [[0.000, 0.000, 0.000], [0.500, 0.500, 0.500], [0.000, 0.500, 0.500], [0.500, 0.000, 0.500], [0.500, 0.500, 0.000]],
  "de_polymorph_ev_per_atom": 1.220,
  "formation_energy_uncorrected_ev_per_atom": 1.555,
  "density_g_cm3": 7.9
}

***

(11)
{
  "formula": "Ta2HgSb",
  "functional": "PBE",
  "state": "relaxed",
  "cell": [[3.537, 0.000, 0.000], [0.000, 4.638, 0.000], [0.000, 0.000, 4.880]],
  "species": ["Ta", "Ta", "Hg", "Sb"],
  "frac_coords": [[0.000, 0.000, 0.000], [0.500, 0.000, 0.500], [0.000, 0.500, 0.500], [0.500, 0.500, 0.000]],
  "de_polymorph_ev_per_atom": 0.202,
  "formation_energy_uncorrected_ev_per_atom": 0.400,
  "density_g_cm3": 14.2
}

***

(12)
{
  "formula": "Ta2HgSb",
  "functional": "PBE",
  "state": "relaxed",
  "cell": [[5.337, -1.515, 0.000], [5.337, 1.515, 0.000], [-1.390, 0.000, 4.939]],
  "species": ["Ta", "Ta", "Hg", "Sb"],
  "frac_coords": [[0.000, 0.000, 0.000], [0.733, 0.733, 0.337], [0.249, 0.249, 0.851], [0.479, 0.479, 0.491]],
  "de_polymorph_ev_per_atom": 0.164,
  "formation_energy_uncorrected_ev_per_atom": 0.362,
  "density_g_cm3": 14.2
}